Er3RuBr3 | PBE | optimized geometry

abc: 4.0699 8.4518 11.8176
angles: 91.81 90.00 90.00
With the nearest neighbours (Å) after each atom.
Sites, in units of the cell vectors:
Br (0.7500, 0.6611, 0.1422)  3 Er 2.89-3.05
Er (0.2500, 0.8543, 0.6371)  3 Ru 2.68-2.88
Er (0.7500, 0.7351, 0.3966)  2 Ru 2.73, 1 Br 3.05
Br (0.2500, 0.8682, 0.8999)  4 Er 2.98-3.26
Er (0.2500, 0.2649, 0.6034)  2 Ru 2.73, 1 Br 3.05
Er (0.7500, 0.0999, 0.8242)  1 Ru 2.73, 4 Br 2.89-2.98
Br (0.7500, 0.5649, 0.6299)  5 Er 3.15-3.26
Br (0.2500, 0.3389, 0.8578)  3 Er 2.89-3.05
Br (0.2500, 0.4351, 0.3701)  5 Er 3.15-3.26
Ru (0.7500, 0.0503, 0.5944)  6 Er 2.68-2.88
Er (0.7500, 0.1457, 0.3629)  3 Ru 2.68-2.88
Er (0.2500, 0.9001, 0.1758)  1 Ru 2.73, 4 Br 2.89-2.98
Ru (0.2500, 0.9497, 0.4056)  6 Er 2.68-2.88
Br (0.7500, 0.1318, 0.1001)  4 Er 2.98-3.26

Properties
DFT total energy = -73.45 eV for the cell shown
Theoretical density = 6.887 Mg/m³
Space group = No. 11